# 1
This record from Alexandria describes CdHg4Bi after structural relaxation. The functional is PBE.

Cell and atoms, written as extended XYZ:
```
6
Lattice="6.1244 0.0000 0.0000 3.0622 5.3039 0.0000 3.0622 1.7680 5.0005" Properties=species:S:1:pos:R:3 pbc="T T T"
Cd 0.0000 0.0000 0.0000
Bi 3.0622 1.7680 1.2501
Hg 6.1244 3.5359 0.6214
Hg 6.1244 1.7645 3.1265
Hg 7.6584 4.4216 3.1265
Hg 4.5903 4.4216 3.1265
```

Results
- DOS(E_F): 0.50 states/eV/atom
- Polymorph energy (0 for the lowest one): 0.143 eV per atom
- E: -0.83 eV per atom


# 2
This record from Alexandria describes PaCuTeO6 after structural relaxation. The functional is PBE.

Cell and atoms, written as extended XYZ:
```
18
Lattice="5.5753 0.0000 0.0000 -2.7876 4.8283 0.0000 0.0000 0.0000 9.1214" Properties=species:S:1:pos:R:3 pbc="T T T"
Pa 0.0000 3.2189 2.2803
Pa 2.7876 1.6094 6.8410
Cu 0.0000 0.0000 0.0000
Cu 0.0000 0.0000 4.5607
Te 2.7876 1.6094 2.2803
Te 0.0000 3.2189 6.8410
O 1.9353 3.0516 1.2077
O 4.4628 1.6265 1.2077
O -0.8228 4.6781 5.7684
O -1.6751 3.2018 7.9136
O 1.1125 1.6265 3.3529
O 3.6400 3.0516 3.3529
O 0.8228 4.6781 7.9136
O 3.6105 0.1502 3.3529
O -0.8523 1.7767 5.7684
O 1.9648 0.1502 1.2077
O 1.6751 3.2018 5.7684
O 0.8523 1.7767 7.9136
```

Results
- DOS(E_F): 0.40 states/eV/atom
- Formation energy (no corrections): -38.50 kcal/mol of atoms
- E: -6.83 eV per atom


# 3
This record from Alexandria describes K6Rb5 after structural relaxation. The functional is PBE.

Cell and atoms, written as extended XYZ:
```
11
Lattice="-6.7696 -2.9181 -11.8894 1.3655 -10.3230 -6.4739 -6.7939 -3.6268 -0.2375" Properties=species:S:1:pos:R:3 pbc="T T T"
K -10.1400 -4.8488 -9.8037
K -3.4236 -1.6960 -2.3232
K -6.6935 -11.4975 -8.7941
K -6.6351 -11.0358 -16.0025
K -5.5045 -5.3703 -9.8067
K -5.5630 -5.8320 -2.5983
Rb -6.7818 -3.2724 -6.0635
Rb -1.9728 -4.0938 -6.1020
Rb -3.4313 -9.1473 -12.2613
Rb -4.0649 -8.3420 -6.3661
Rb -8.1331 -8.5258 -12.2347
```

Results
- DOS(E_F): 0.91 states/eV/atom
- E: -1.01 eV per atom


# 4
This record from Alexandria describes Ac3LaS after structural relaxation. The functional is PBE.

Cell and atoms, written as extended XYZ:
```
5
Lattice="-5.1233 2.7428 0.8383 -2.4843 -5.1015 1.5088 1.4333 0.9619 5.6120" Properties=species:S:1:pos:R:3 pbc="T T T"
Ac -1.2421 -2.5507 0.7544
Ac 0.7166 0.4809 2.8060
Ac -2.5616 1.3714 0.4192
S 0.0000 0.0000 0.0000
La -3.0871 -0.6984 3.9796
```

Results
- DOS(E_F): 1.24 states/eV/atom
- Formation energy (no corrections): -15.69 kcal/mol of atoms
- E: -4.96 eV per atom